1.
Compound: Te2PbSeI
Source: Alexandria via LeMat-Bulk
Functional: PBEsol
Structure: relaxed

Output
formation energy (no corrections)	0.78	eV/atom
DOS at the Fermi energy	1.591	states/eV/atom
space-group type	P4/mmm (123)
total magnetic moment	2.15	μB per formula unit
E above lowest polymorph	56.3	kJ per mole of atoms

Unit cell a=5.781 b=5.781 c=5.937 alpha=90.00 beta=90.00 gamma=90.00
Each line ends with the local moment (μB).
Fractional positions:
Se  0.500  0.500  0.500  1.01
Te  0.000  0.500  0.000  0.10
Te  0.500  0.000  0.000  0.10
Pb  0.000  0.000  0.000  0.00
I  0.000  0.000  0.500  0.09

---

2.
Compound: Ca3PbSe4
Source: Alexandria via LeMat-Bulk
Functional: PBEsol
Structure: relaxed

Output
formation energy (no corrections)	-1.65	eV/atom
DOS at the Fermi energy	0.000	states/eV/atom
space-group type	Pmmm (47)
total magnetic moment	0.00	μB per formula unit

Unit cell a=4.192 b=5.946 c=8.424 alpha=90.00 beta=90.00 gamma=90.00
Fractional positions:
Ca  0.000  0.500  0.500
Ca  0.500  0.000  0.748
Ca  0.500  0.000  0.252
Se  0.000  0.000  0.500
Se  0.000  0.000  0.000
Se  0.500  0.500  0.260
Se  0.500  0.500  0.740
Pb  0.000  0.500  0.000

---

3.
Compound: YCrP2
Source: Alexandria via LeMat-Bulk
Functional: PBEsol
Structure: relaxed

Output
DOS at the Fermi energy	0.356	states/eV/atom
space-group type	Immm (71)
total magnetic moment	2.80	μB per formula unit
E above lowest polymorph	28.5	kJ per mole of atoms

Unit cell a=3.846 b=4.711 c=4.711 alpha=70.66 beta=65.91 gamma=65.91
Each line ends with the local moment (μB).
Fractional positions:
Y  0.000  0.500  0.500  -0.01
Cr  0.500  0.000  0.000  2.71
P  0.206  0.794  0.794  -0.07
P  0.794  0.206  0.206  -0.07

---

4.
Compound: MgV3P3O13
Source: Alexandria via LeMat-Bulk
Functional: PBEsol
Structure: relaxed

Output
formation energy (no corrections)	-2.28	eV/atom
DOS at the Fermi energy	0.454	states/eV/atom
space-group type	P2_1/m (11)
total magnetic moment	6.00	μB per formula unit

Unit cell a=6.296 b=7.545 c=9.889 alpha=100.24 beta=90.00 gamma=90.00
Each line ends with the local moment (μB).
Fractional positions:
Mg  0.750  0.361  0.816  0.00
Mg  0.250  0.639  0.184  0.00
O  0.750  0.338  0.393  0.00
O  0.750  0.625  0.254  -0.01
O  0.061  0.750  0.399  0.00
O  0.043  0.218  0.903  0.00
O  0.250  0.517  0.978  0.00
O  0.457  0.218  0.903  0.00
O  0.561  0.250  0.601  0.00
O  0.250  0.092  0.134  -0.01
O  0.562  0.607  0.790  0.00
O  0.750  0.018  0.420  -0.01
O  0.250  0.982  0.580  -0.01
O  0.750  0.483  0.022  0.00
O  0.750  0.126  0.096  -0.11
O  0.750  0.768  0.617  -0.01
O  0.750  0.908  0.866  -0.01
O  0.250  0.232  0.383  -0.01
O  0.439  0.750  0.399  0.00
O  0.250  0.375  0.746  -0.01
O  0.957  0.782  0.097  0.00
O  0.250  0.662  0.607  0.00
O  0.543  0.782  0.097  0.00
O  0.250  0.874  0.904  -0.11
O  0.438  0.393  0.210  0.00
O  0.939  0.250  0.601  0.00
O  0.938  0.607  0.790  0.00
O  0.062  0.393  0.210  0.00
P  0.750  0.215  0.499  0.02
P  0.750  0.726  0.762  0.02
P  0.750  0.676  0.108  0.01
P  0.250  0.785  0.501  0.02
P  0.250  0.274  0.238  0.02
P  0.250  0.324  0.892  0.01
V  0.250  0.650  0.801  1.73
V  0.500  0.000  0.000  2.14
V  0.000  0.000  0.000  2.14
V  0.250  0.221  0.570  1.71
V  0.750  0.779  0.430  1.71
V  0.750  0.350  0.199  1.73

---

5.
Compound: RbCo2Si2
Source: Alexandria via LeMat-Bulk
Functional: PBEsol
Structure: relaxed

Output
formation energy (no corrections)	0.12	eV/atom
DOS at the Fermi energy	0.429	states/eV/atom
space-group type	I4/mmm (139)
total magnetic moment	0.00	μB per formula unit

Unit cell a=3.710 b=3.710 c=7.268 alpha=104.79 beta=104.79 gamma=90.00
Fractional positions:
Si  0.250  0.750  0.500
Si  0.750  0.250  0.500
Co  0.657  0.657  0.315
Co  0.343  0.343  0.685
Rb  0.000  0.000  0.000

---

6.
Compound: TaSiHg2
Source: Alexandria via LeMat-Bulk
Functional: PBEsol
Structure: relaxed

Output
formation energy (no corrections)	0.37	eV/atom
DOS at the Fermi energy	0.573	states/eV/atom
space-group type	Imm2 (44)
total magnetic moment	0.00	μB per formula unit

Unit cell a=3.011 b=4.972 c=5.781 alpha=115.47 beta=105.09 gamma=90.00
Fractional positions:
Ta  0.230  0.730  0.461
Si  0.519  0.519  0.038
Hg  0.989  0.989  0.978
Hg  0.762  0.262  0.524

---

Number 1: uncorrected energy -2.55 eV per atom. Number 2: uncorrected energy -4.88 eV per atom. Number 3: uncorrected energy -7.79 eV per atom. Number 4: uncorrected energy -8.09 eV per atom. Number 5: uncorrected energy -5.48 eV per atom. Number 6: uncorrected energy -4.49 eV per atom.